A relaxed structure of Cs2LiMgBi2, computed with GGA-PBE.

Output
- total magnetic moment (μB per atom) = 0.000
- crystal system = orthorhombic
- E_tot (Ry/atom) = -0.189
- formation energy (eV/atom) = -0.41
- DOS at the Fermi energy (states/eV per cell) = 18.7

Unit cell a=7.3214 b=17.8652 c=7.3231 alpha=90.00 beta=90.00 gamma=90.00
Space group Ibam (No. 72)
Inequivalent atoms, fractional coordinates:
Cs 0.2439 0.1698 0.0000
Li 0.0000 0.0000 0.2500
Mg 0.0000 0.5000 0.2500
Bi 0.2487 0.4135 0.0000


A relaxed structure of CsNaLiBi, computed with GGA-PBE.

Output
- energy relative to the lowest polymorph listed for this composition (meV per atom) = 0.0
- total magnetic moment (μB per atom) = 0.000
- crystal system = trigonal
- E_tot (Ry/atom) = -0.175
- formation energy (eV/atom) = -0.39
- DOS at the Fermi energy (states/eV per cell) = 1.5

Unit cell a=5.2267 b=5.2267 c=20.9322 alpha=90.00 beta=90.00 gamma=120.00
Space group R3m (No. 160, hexagonal axes)
Inequivalent atoms, fractional coordinates:
Cs 0.0000 0.0000 0.0000
Na 0.0000 0.0000 0.1802
Li 0.0000 0.0000 0.4688
Bi 0.0000 0.0000 0.7985


A relaxed structure of CsNaLiBi, computed with GGA-PBE.

Output
- energy relative to the lowest polymorph listed for this composition (meV per atom) = 101.9
- total magnetic moment (μB per atom) = 0.000
- crystal system = cubic
- E_tot (Ry/atom) = -0.168
- formation energy (eV/atom) = -0.29
- DOS at the Fermi energy (states/eV per cell) = 0.3

Unit cell a=8.0689 b=8.0689 c=8.0689 alpha=90.00 beta=90.00 gamma=90.00
Space group F-43m (No. 216)
Inequivalent atoms, fractional coordinates:
Cs 0.0000 0.0000 0.0000
Na 0.2500 0.2500 0.7500
Li 0.2500 0.2500 0.2500
Bi 0.0000 0.0000 0.5000


A relaxed structure of CsNaLi2Bi, computed with GGA-PBE.

Output
- total magnetic moment (μB per atom) = 0.000
- crystal system = tetragonal
- E_tot (Ry/atom) = -0.162
- formation energy (eV/atom) = -0.22
- DOS at the Fermi energy (states/eV per cell) = 2.2

Unit cell a=5.6267 b=5.6267 c=6.2356 alpha=90.00 beta=90.00 gamma=90.00
Space group P4/mmm (No. 123)
Inequivalent atoms, fractional coordinates:
Cs 0.0000 0.0000 0.0000
Na 0.5000 0.5000 0.0000
Li 0.0000 0.5000 0.5000
Bi 0.5000 0.5000 0.5000


A relaxed structure of CsLiBiO3, computed with GGA-PBE.

Output
- total magnetic moment (μB per atom) = 0.000
- crystal system = orthorhombic
- E_tot (Ry/atom) = -0.365
- ΔE_f (raw) (eV/atom) = -1.3818
- DOS at the Fermi energy (states/eV per cell) = 9.4

Unit cell a=3.5773 b=13.3324 c=8.9730 alpha=90.00 beta=90.00 gamma=90.00
Space group Cmcm (No. 63)
Inequivalent atoms, fractional coordinates:
Cs 0.0000 0.2317 0.2500
Li 0.0000 0.0442 0.7500
Bi 0.0000 0.5000 0.0000
O 0.0000 0.1040 0.5501
O 0.0000 0.4727 0.7500


A relaxed structure of CsLi3Bi4O12, computed with GGA-PBE.

Output
- total magnetic moment (μB per atom) = 0.000
- crystal system = cubic
- E_tot (Ry/atom) = -0.380
- ΔE_f (raw) (eV/atom) = -1.0831
- DOS at the Fermi energy (states/eV per cell) = 9.0

Unit cell a=8.1525 b=8.1525 c=8.1525 alpha=90.00 beta=90.00 gamma=90.00
Space group Im-3 (No. 204)
Inequivalent atoms, fractional coordinates:
Cs 0.0000 0.0000 0.0000
Li 0.0000 0.0000 0.5000
Bi 0.2500 0.2500 0.2500
O 0.0000 0.1865 0.3170


A relaxed structure of Cs2LiBiO4, computed with GGA-PBE.

Output
- total magnetic moment (μB per atom) = 0.000
- crystal system = orthorhombic
- E_tot (Ry/atom) = -0.343
- ΔE_f (raw) (eV/atom) = -1.2483
- DOS at the Fermi energy (states/eV per cell) = 0.0

Unit cell a=5.4251 b=13.2815 c=21.2641 alpha=90.00 beta=90.00 gamma=90.00
Space group Fddd (No. 70, origin choice 2)
Inequivalent atoms, fractional coordinates:
Cs 0.1250 0.1250 0.2982
Li 0.1250 0.1250 0.1250
Bi 0.1250 0.1250 0.6250
O 0.1218 0.2885 0.4214


A relaxed structure of CsLiBiPd2, computed with GGA-PBE.

Output
- total magnetic moment (μB per atom) = 0.000
- crystal system = tetragonal
- E_tot (Ry/atom) = -0.218
- formation energy (eV/atom) = 0.44
- DOS at the Fermi energy (states/eV per cell) = 3.5

Unit cell a=5.0000 b=5.0000 c=4.9701 alpha=90.00 beta=90.00 gamma=90.00
Space group P4/mmm (No. 123)
Inequivalent atoms, fractional coordinates:
Cs 0.0000 0.0000 0.0000
Li 0.0000 0.0000 0.5000
Bi 0.5000 0.5000 0.0000
Pd 0.0000 0.5000 0.5000


A relaxed structure of CsLiBiS3, computed with GGA-PBE.

Output
- total magnetic moment (μB per atom) = 0.000
- crystal system = monoclinic
- E_tot (Ry/atom) = -0.287
- ΔE_f (raw) (eV/atom) = -0.7276
- DOS at the Fermi energy (states/eV per cell) = 9.4

Unit cell a=9.4744 b=4.1808 c=9.6768 alpha=90.00 beta=113.65 gamma=90.00
Space group P2_1/m (No. 11)
Inequivalent atoms, fractional coordinates:
Cs 0.2210 0.2500 0.2573
Li 0.0885 0.2500 0.5870
Bi 0.3236 0.7500 0.8453
S 0.1332 0.2500 0.8541
S 0.1952 0.7500 0.5450
S 0.4778 0.7500 0.1616


A relaxed structure of Cs2LiBiSb, computed with GGA-PBE.

Output
- total magnetic moment (μB per atom) = 0.000
- crystal system = tetragonal
- E_tot (Ry/atom) = -0.163
- ΔE_f (raw) (eV/atom) = 0.1116
- DOS at the Fermi energy (states/eV per cell) = 4.5

Unit cell a=7.6168 b=7.6168 c=5.7826 alpha=90.00 beta=90.00 gamma=90.00
Space group P4/mmm (No. 123)
Inequivalent atoms, fractional coordinates:
Cs 0.0000 0.5000 0.0000
Li 0.0000 0.0000 0.5000
Bi 0.5000 0.5000 0.0000
Sb 0.5000 0.5000 0.5000


A relaxed structure of CsLiBiSe3, computed with GGA-PBE.

Output
- total magnetic moment (μB per atom) = 0.000
- crystal system = monoclinic
- E_tot (Ry/atom) = -0.265
- ΔE_f (raw) (eV/atom) = -0.7593
- DOS at the Fermi energy (states/eV per cell) = 4.1

Unit cell a=9.8972 b=4.4909 c=10.0256 alpha=90.00 beta=118.72 gamma=90.00
Space group P2_1/m (No. 11)
Inequivalent atoms, fractional coordinates:
Cs 0.2374 0.2500 0.2365
Li 0.1065 0.2500 0.5564
Bi 0.3134 0.7500 0.8343
Se 0.0958 0.2500 0.8091
Se 0.1757 0.7500 0.4952
Se 0.4908 0.7500 0.1680


A relaxed structure of Cs2LiSnBi2, computed with GGA-PBE.

Output
- total magnetic moment (μB per atom) = 0.000
- crystal system = orthorhombic
- E_tot (Ry/atom) = -0.216
- formation energy (eV/atom) = -0.38
- DOS at the Fermi energy (states/eV per cell) = 7.8

Unit cell a=7.4253 b=17.8248 c=7.5041 alpha=90.00 beta=90.00 gamma=90.00
Space group Ibam (No. 72)
Inequivalent atoms, fractional coordinates:
Cs 0.2478 0.1682 0.0000
Li 0.0000 0.0000 0.2500
Sn 0.0000 0.5000 0.2500
Bi 0.2453 0.0911 0.5000